HfCuSe2Br after structural relaxation. Source: the Alexandria database, functional PBE.

## Properties
- Magnetic moment: 0.5 Bohr magnetons per cell
- Energy above the most stable polymorph in this dataset: 0.452 eV/atom
- Formation energy without anion corrections: 22 kJ/mol of atoms
- Fermi-level density of states: 3.504 states/eV/f.u.

a b c (Å): 4.8152 4.8152 4.7058
angles (deg): 90.00 90.00 90.00
With the nearest neighbours (Å) after each atom.
Fractional coordinates of all 5 atoms:
1 Se 0.0000 0.5000 0.0000  2 Cu 2.41
2 Se 0.5000 0.0000 0.0000  2 Cu 2.41
3 Br 0.0000 0.0000 0.5000  2 Cu 2.35
4 Cu 0.0000 0.0000 0.0000  2 Br 2.35, 4 Se 2.41
5 Hf 0.5000 0.5000 0.5000  8 Se 3.37, 4 Br 3.40